# 1
PBE BaHg3Bi2, optimized geometry; spin magnetization = 0.0 μB/f.u.; ρ = 9.752 g/cm3; formation energy = -0.26 eV per atom; D(E_F) = 2.966 states/eV/f.u.; energy above the most stable polymorph in this dataset = 58 meV per atom
1.0
4.896 -6.018 0.000
4.896 6.018 0.000
0.000 0.000 6.688
Ba Hg Bi
2 6 4
Direct
0.246 0.754 0.750
0.754 0.246 0.250
0.036 0.964 0.250
0.106 0.582 0.250
0.418 0.894 0.250
0.582 0.106 0.750
0.894 0.418 0.750
0.964 0.036 0.750
0.335 0.335 0.000
0.335 0.335 0.500
0.665 0.665 0.000
0.665 0.665 0.500

=====

# 2
PBE BaHg3Bi, optimized geometry; spin magnetization = 0.0 μB/f.u.; ρ = 9.732 g/cm3; formation energy = -0.39 eV per atom; D(E_F) = 1.478 states/eV/f.u.; energy above the most stable polymorph in this dataset = 0 meV per atom
1.0
8.957 0.000 0.000
0.000 7.052 0.000
-2.963 0.000 10.244
Ba Hg Bi
4 12 4
Direct
0.236 0.011 0.289
0.236 0.489 0.789
0.764 0.511 0.211
0.764 0.989 0.711
0.181 0.509 0.346
0.181 0.991 0.846
0.353 0.591 0.137
0.353 0.909 0.637
0.459 0.191 0.055
0.459 0.309 0.555
0.541 0.691 0.445
0.541 0.809 0.945
0.647 0.091 0.363
0.647 0.409 0.863
0.819 0.009 0.154
0.819 0.491 0.654
0.003 0.225 0.501
0.003 0.275 0.001
0.997 0.725 0.999
0.997 0.775 0.499

=====

# 3
PBE Ba4Hg5Bi6, optimized geometry; spin magnetization = 0.0 μB/f.u.; ρ = 8.410 g/cm3; formation energy = -0.49 eV per atom; D(E_F) = 4.620 states/eV/f.u.
1.0
2.537 -11.593 0.000
2.537 11.593 0.000
0.000 0.000 18.842
Ba Hg Bi
8 10 12
Direct
0.027 0.973 0.500
0.043 0.957 0.773
0.165 0.835 0.295
0.175 0.825 0.963
0.825 0.175 0.463
0.835 0.165 0.795
0.957 0.043 0.273
0.973 0.027 0.000
0.141 0.859 0.632
0.317 0.683 0.621
0.324 0.676 0.932
0.327 0.673 0.315
0.447 0.553 0.700
0.553 0.447 0.200
0.673 0.327 0.815
0.676 0.324 0.432
0.683 0.317 0.121
0.859 0.141 0.132
0.097 0.903 0.125
0.219 0.781 0.507
0.224 0.776 0.755
0.428 0.572 0.415
0.435 0.565 0.131
0.442 0.558 0.861
0.558 0.442 0.361
0.565 0.435 0.631
0.572 0.428 0.915
0.776 0.224 0.255
0.781 0.219 0.007
0.903 0.097 0.625

=====

# 4
PBE BaHg3Bi, optimized geometry; spin magnetization = 0.0 μB/f.u.; ρ = 7.798 g/cm3; formation energy = -0.04 eV per atom; D(E_F) = 4.682 states/eV/f.u.; energy above the most stable polymorph in this dataset = 345 meV per atom
1.0
5.866 0.000 0.000
0.000 5.866 0.000
0.000 0.000 5.866
Ba Hg Bi
1 3 1
Direct
0.000 0.000 0.000
0.000 0.500 0.500
0.500 0.000 0.500
0.500 0.500 0.000
0.500 0.500 0.500

=====

# 5
PBE BaHg3Bi, optimized geometry; spin magnetization = 1.1 μB/f.u.; ρ = 6.234 g/cm3; formation energy = 0.43 eV per atom; D(E_F) = 5.566 states/eV/f.u.; energy above the most stable polymorph in this dataset = 818 meV per atom
1.0
6.321 0.000 0.000
0.000 6.321 0.000
0.000 0.000 6.321
Ba Hg Bi
1 3 1
Direct
0.000 0.000 0.000
0.000 0.000 0.500
0.000 0.500 0.000
0.500 0.000 0.000
0.500 0.500 0.500

=====

# 6
PBE BaHgBiI6, optimized geometry; spin magnetization = 0.0 μB/f.u.; energy relative to the elements, uncorrected = -6.78 eV/f.u.; ρ = 5.036 g/cm3; D(E_F) = 4.035 states/eV/f.u.
1.0
4.110 -7.124 0.000
4.110 7.124 0.000
-0.006 0.000 7.367
Ba Hg Bi I
1 1 1 6
Direct
0.000 0.000 0.000
0.666 0.334 0.500
0.333 0.667 0.000
0.019 0.367 0.250
0.019 0.652 0.750
0.348 0.368 0.750
0.348 0.981 0.250
0.632 0.652 0.250
0.633 0.981 0.750

=====

# 7
PBE Ba8HgBi3I4, optimized geometry; spin magnetization = 3.1 μB/f.u.; energy relative to the elements, uncorrected = -18.96 eV/f.u.; ρ = 5.274 g/cm3; D(E_F) = 2.342 states/eV/f.u.
1.0
5.134 2.964 8.392
-5.134 2.964 8.392
0.000 -5.928 8.392
Ba Hg Bi I
8 1 3 4
Direct
0.240 0.240 0.240
0.240 0.740 0.740
0.260 0.260 0.760
0.260 0.760 0.260
0.740 0.240 0.740
0.740 0.740 0.240
0.760 0.260 0.260
0.760 0.760 0.760
0.500 0.500 0.500
0.000 0.000 0.500
0.000 0.500 0.000
0.500 0.000 0.000
0.000 0.000 0.000
0.000 0.500 0.500
0.500 0.000 0.500
0.500 0.500 0.000

=====

# 8
PBE Ba6HgBi2I3, optimized geometry; spin magnetization = 2.2 μB/f.u.; energy relative to the elements, uncorrected = -13.75 eV/f.u.; ρ = 5.294 g/cm3; D(E_F) = 5.053 states/eV/f.u.
1.0
11.208 -2.530 0.000
11.208 2.530 0.000
-2.466 0.000 10.083
Ba Hg Bi I
6 1 2 3
Direct
0.006 0.006 0.237
0.326 0.326 0.433
0.340 0.340 0.902
0.660 0.660 0.098
0.674 0.674 0.567
0.994 0.994 0.763
0.500 0.500 0.000
0.165 0.165 0.332
0.835 0.835 0.668
0.168 0.168 0.833
0.500 0.500 0.500
0.832 0.832 0.167

=====

# 9
PBE BaInHg2Bi, optimized geometry; spin magnetization = 0.0 μB/f.u.; ρ = 7.585 g/cm3; formation energy = -0.22 eV per atom; D(E_F) = 2.499 states/eV/f.u.; energy above the most stable polymorph in this dataset = 151 meV per atom
1.0
5.546 0.000 0.000
0.000 5.546 0.000
0.000 0.000 6.137
Ba In Hg Bi
1 1 2 1
Direct
0.000 0.000 0.000
0.500 0.500 0.500
0.000 0.500 0.500
0.500 0.000 0.500
0.500 0.500 0.000

=====

# 10
PBE Ba2InHgBi2, optimized geometry; spin magnetization = 0.0 μB/f.u.; ρ = 7.308 g/cm3; formation energy = -0.55 eV per atom; D(E_F) = 2.862 states/eV/f.u.
1.0
-3.842 7.867 3.789
3.842 -7.867 3.789
3.842 7.867 -3.789
Ba In Hg Bi
4 2 2 4
Direct
0.149 0.220 0.369
0.351 0.720 0.071
0.649 0.280 0.929
0.851 0.780 0.631
0.250 0.750 0.500
0.750 0.250 0.500
0.250 0.250 0.000
0.750 0.750 0.000
0.124 0.716 0.840
0.376 0.216 0.591
0.624 0.784 0.409
0.876 0.284 0.160

=====

# 11
PBE BaInHg2Bi, optimized geometry; spin magnetization = 0.0 μB/f.u.; ρ = 8.705 g/cm3; formation energy = -0.37 eV per atom; D(E_F) = 1.161 states/eV/f.u.; energy above the most stable polymorph in this dataset = 0 meV per atom
1.0
-2.488 2.583 6.399
2.488 -2.583 6.399
2.488 2.583 -6.399
Ba In Hg Bi
1 1 2 1
Direct
0.000 0.000 0.000
0.263 0.763 0.500
0.390 0.390 0.000
0.781 0.281 0.500
0.623 0.623 0.000

=====

# 12
PBE Ba3In2Hg2Bi4, optimized geometry; spin magnetization = 0.0 μB/f.u.; ρ = 7.818 g/cm3; formation energy = -0.43 eV per atom; D(E_F) = 6.849 states/eV/f.u.
1.0
-2.578 2.578 15.010
2.578 -2.578 15.010
2.578 2.578 -15.010
Ba In Hg Bi
3 2 2 4
Direct
0.000 0.000 0.000
0.196 0.196 0.000
0.804 0.804 0.000
0.452 0.452 0.000
0.548 0.548 0.000
0.314 0.314 0.000
0.686 0.686 0.000
0.106 0.606 0.500
0.394 0.894 0.500
0.606 0.106 0.500
0.894 0.394 0.500